Crystalline MgBe3Ir at its relaxed geometry, computed with PBE.

Output
The value obtained for the density is 5.31 g cm⁻³. The calculation puts the total magnetization at 0.00 μB per formula unit. The calculated formation energy is 70 kJ/mol of formula units. The calculation puts the distance to the lowest polymorph of the same formula at 0.0 kJ per mole of atoms. For the total energy, the calculation gives -4.182 eV per atom. As for the volume: 15.25 A^3/atom.

Cell and atoms, written as CIF:
```
data_MgBe3Ir
_chemical_formula_sum 'Mg1 Be3 Ir1'
_symmetry_space_group_name_H-M 'P m -3 m'
_symmetry_Int_Tables_number 221
_symmetry_space_group_name_Hall '-P 4 2 3'
_cell_length_a 4.240
_cell_length_b 4.240
_cell_length_c 4.240
_cell_angle_alpha 90.00
_cell_angle_beta 90.00
_cell_angle_gamma 90.00
loop_
_atom_site_label
_atom_site_fract_x
_atom_site_fract_y
_atom_site_fract_z
Mg1 0.000 0.000 0.000
Be1 0.000 0.500 0.500
Ir1 0.500 0.500 0.500
```

Crystalline Mg2BeIr at its relaxed geometry, computed with PBE.

Output
The value obtained for the density is 6.56 g cm⁻³. The calculation puts the total magnetization at 0.00 μB per formula unit. The calculated formation energy is -124 kJ/mol of formula units. For the total energy, the calculation gives -4.267 eV per atom. As for the volume: 15.82 A^3/atom.

Cell and atoms, written as CIF:
```
data_Mg2BeIr
_chemical_formula_sum 'Mg2 Be1 Ir1'
_symmetry_space_group_name_H-M 'P 4 m m'
_symmetry_Int_Tables_number 99
_cell_length_a 3.014
_cell_length_b 3.014
_cell_length_c 6.966
_cell_angle_alpha 90.00
_cell_angle_beta 90.00
_cell_angle_gamma 90.00
loop_
_symmetry_equiv_pos_as_xyz
'x,y,z'
'-y,x,z'
'-x,-y,z'
'y,-x,z'
'-x,y,z'
'y,x,z'
'x,-y,z'
'-y,-x,z'
loop_
_atom_site_label
_atom_site_fract_x
_atom_site_fract_y
_atom_site_fract_z
Mg1 0.000 0.000 0.000
Mg2 0.500 0.500 0.348
Be1 0.000 0.000 0.617
Ir1 0.500 0.500 0.743
```

Crystalline Mg2BeIr at its relaxed geometry, computed with PBE.

Output
The value obtained for the density is 6.54 g cm⁻³. The calculation puts the total magnetization at 0.00 μB per formula unit. The calculated formation energy is 136 kJ/mol of formula units. For the total energy, the calculation gives -3.591 eV per atom. As for the volume: 15.87 A^3/atom.

Cell and atoms, written as CIF:
```
data_Mg2BeIr
_chemical_formula_sum 'Mg8 Be4 Ir4'
_symmetry_space_group_name_H-M 'I -4 2 d'
_symmetry_Int_Tables_number 122
_symmetry_space_group_name_Hall 'I -4 2bw'
_cell_length_a 3.705
_cell_length_b 3.705
_cell_length_c 18.497
_cell_angle_alpha 90.00
_cell_angle_beta 90.00
_cell_angle_gamma 90.00
loop_
_atom_site_label
_atom_site_fract_x
_atom_site_fract_y
_atom_site_fract_z
Mg1 0.247 0.250 0.125
Be1 0.000 0.000 0.500
Ir1 0.000 0.000 0.000
```